1.
Cd2CuGe2: optimized geometry, PBE.

Its calculated formation energy is 35.3 kJ per mole of atoms. The calculation puts the total energy at -2.6668 eV/atom. The density of states at the Fermi level comes out at 3.70 states/eV per cell.

The space group is P4/mbm (No. 127) and the conventional cell measures 7.094, 7.094 and 4.146 Å, with angles of 90.00, 90.00 and 90.00 degrees. The asymmetric unit holds Cd at (0.160, 0.340, 0.000), Cu at (0.000, 0.000, 0.000) and Ge at (0.146, 0.646, 0.500).


2.
Co2AsPb: optimized geometry, PBE.

Its calculated formation energy is 70.0 kJ per mole of atoms. The calculation puts the total energy at -4.9173 eV/atom. The density of states at the Fermi level comes out at 24.40 states/eV per cell.

The space group is F-43m (No. 216) and the conventional cell measures 6.488, 6.488 and 6.488 Å, with angles of 90.00, 90.00 and 90.00 degrees. The asymmetric unit holds Co at (0.000, 0.000, 0.000), Co at (0.250, 0.250, 0.250), As at (0.000, 0.000, 0.500) and Pb at (0.250, 0.250, 0.750).


3.
P2OsPt: optimized geometry, PBE.

Its calculated formation energy is 41.4 kJ per mole of atoms. The calculation puts the total energy at -6.5938 eV/atom. The density of states at the Fermi level comes out at 6.11 states/eV per cell.

The space group is Immm (No. 71) and the conventional cell measures 2.809, 4.959 and 8.516 Å, with angles of 90.00, 90.00 and 90.00 degrees. The asymmetric unit holds P at (0.000, 0.000, 0.231), Os at (0.000, 0.500, 0.500) and Pt at (0.000, 0.500, 0.000).


- Look up the calculated formation energy of the second one.
  70.0 kJ per mole of atoms